i.
DFT (PBE) results for crystalline Os3PbF at its relaxed geometry. Values from VASP.

Quantum ESPRESSO input file:
```
&SYSTEM
  ibrav = 0, nat = 5, ntyp = 3
/
ATOMIC_SPECIES
Pb 207.20 Pb.upf
F 19.00 F.upf
Os 190.23 Os.upf
CELL_PARAMETERS angstrom
-0.802 -4.806 -1.508
4.641 -0.112 -2.113
1.958 -1.705 4.391
ATOMIC_POSITIONS crystal
Pb 0.000 0.000 0.000
F 0.500 0.500 0.500
Os 0.500 0.000 0.000
Os 0.000 0.000 0.500
Os 0.000 0.500 0.000
```

Results
- magnetic moment (Bohr magnetons per cell) = 6.81
- N(E_F) (states/eV per cell) = 5.3
- ρ (g cm⁻³) = 9.972


ii.
DFT (PBE) results for crystalline Os3PbF at its relaxed geometry. Values from VASP.

Quantum ESPRESSO input file:
```
&SYSTEM
  ibrav = 0, nat = 5, ntyp = 3
/
ATOMIC_SPECIES
Os 190.23 Os.upf
F 19.00 F.upf
Pb 207.20 Pb.upf
CELL_PARAMETERS angstrom
-0.247 2.482 -3.558
-3.827 -1.803 -0.992
-2.043 3.077 2.288
ATOMIC_POSITIONS crystal
Os 0.000 0.000 0.500
F 0.000 0.000 0.000
Os 0.500 0.000 0.000
Os 0.000 0.500 0.000
Pb 0.500 0.500 0.500
```

Results
- magnetic moment (Bohr magnetons per cell) = 0.02
- N(E_F) (states/eV per cell) = 7.9
- ρ (g cm⁻³) = 16.131


Among the structures above, stability is smallest for i.